*one*
VASP calculation (GGA-PBE) on an optimized crystal structure of NaMgAsSe2.

abc: 5.154 5.154 4.933
angles: 90.00 90.00 90.00
Element x y z (fractional)
Na  0.000  0.000  0.000
Mg  0.500  0.500  0.500
As  0.000  0.000  0.500
Se  0.000  0.500  0.000
Se  0.500  0.000  0.000

Values from the calculation:
The total magnetic moment is 0.0 μB per formula unit.


*two*
VASP calculation (GGA-PBE) on an optimized crystal structure of NaMgAsSe2.

abc: 5.197 5.197 4.976
angles: 90.00 90.00 90.00
Element x y z (fractional)
Na  0.000  0.000  0.000
Mg  0.500  0.500  0.500
As  0.500  0.500  0.000
Se  0.000  0.500  0.500
Se  0.500  0.000  0.500

Values from the calculation:
The total magnetic moment is 0.0 μB per formula unit.


In meV/atom, relative to the most stable structure: *one* 594; *two* 0.


*one*
VASP calculation (GGA-PBE) on an optimized crystal structure of MgNbAs.

abc: 3.529 3.444 18.190
angles: 90.00 90.00 90.00
Element x y z (fractional)
Mg  0.000  0.000  0.000
Mg  0.000  0.500  0.500
Mg  0.500  0.000  0.410
Mg  0.500  0.500  0.910
Nb  0.500  0.000  0.254
Nb  0.500  0.000  0.595
Nb  0.500  0.500  0.095
Nb  0.500  0.500  0.754
As  0.000  0.000  0.149
As  0.000  0.000  0.821
As  0.000  0.500  0.321
As  0.000  0.500  0.649

Values from the calculation:
The total magnetic moment is 0.0 μB per formula unit.


*two*
VASP calculation (GGA-PBE) on an optimized crystal structure of MgNbAs.

abc: 7.648 7.648 7.648
angles: 33.42 33.42 33.42
Element x y z (fractional)
Mg  0.133  0.133  0.133
Mg  0.867  0.867  0.867
Nb  0.285  0.285  0.285
Nb  0.715  0.715  0.715
As  0.405  0.405  0.405
As  0.595  0.595  0.595

Values from the calculation:
The total magnetic moment is 0.0 μB per formula unit.


*three*
VASP calculation (GGA-PBE) on an optimized crystal structure of MgNbAs.

abc: 3.458 3.468 9.737
angles: 90.00 94.03 90.00
Element x y z (fractional)
Mg  0.000  0.000  0.000
Mg  0.468  0.500  0.787
Nb  0.495  0.500  0.480
Nb  0.989  0.000  0.307
As  0.016  0.000  0.599
As  0.467  0.500  0.188

Values from the calculation:
The total magnetic moment is 0.0 μB per formula unit.


In meV/atom, relative to the most stable structure: *one* 17; *two* 147; *three* 0.